# 1
The following is a PBE calculation of an optimized crystal structure of KAg2RhBr8, from Alexandria via LeMat-Bulk.

CIF file:
```
data_KAg2RhBr8
_chemical_formula_sum 'K1 Ag2 Rh1 Br8'
_symmetry_space_group_name_H-M 'P 1'
_symmetry_Int_Tables_number 1
_symmetry_space_group_name_Hall 'P 1'
_cell_length_a 6.760
_cell_length_b 6.849
_cell_length_c 8.931
_cell_angle_alpha 91.26
_cell_angle_beta 104.37
_cell_angle_gamma 108.45
loop_
_atom_site_label
_atom_site_fract_x
_atom_site_fract_y
_atom_site_fract_z
_atom_site_occupancy
K1 0.000 0.000 0.000 1
Ag1 0.016 0.485 0.741 1
Ag2 0.984 0.515 0.259 1
Rh1 0.000 0.000 0.500 1
Br1 0.204 0.251 0.346 1
Br2 0.240 0.785 0.499 1
Br3 0.250 0.228 0.743 1
Br4 0.280 0.685 0.000 1
Br5 0.720 0.315 0.000 1
Br6 0.750 0.772 0.257 1
Br7 0.760 0.215 0.501 1
Br8 0.796 0.749 0.654 1
```

=====

# 2
The following is a PBE calculation of an optimized crystal structure of KAg2RhBr6, from Alexandria via LeMat-Bulk.

CIF file:
```
data_KAg2RhBr6
_chemical_formula_sum 'K1 Ag2 Rh1 Br6'
_symmetry_space_group_name_H-M 'P 1'
_symmetry_Int_Tables_number 1
_symmetry_space_group_name_Hall 'P 1'
_cell_length_a 7.189
_cell_length_b 7.193
_cell_length_c 7.745
_cell_angle_alpha 90.01
_cell_angle_beta 117.64
_cell_angle_gamma 119.95
loop_
_atom_site_label
_atom_site_fract_x
_atom_site_fract_y
_atom_site_fract_z
_atom_site_occupancy
K1 0.000 0.000 0.000 1
Ag1 0.572 0.286 0.858 1
Ag2 0.628 0.814 0.442 1
Rh1 0.963 0.482 0.445 1
Br1 0.106 0.450 0.213 1
Br2 0.117 0.263 0.662 1
Br3 0.399 0.853 0.662 1
Br4 0.558 0.108 0.213 1
Br5 0.763 0.656 0.213 1
Br6 0.809 0.546 0.662 1
```

=====

# 3
The following is a PBE calculation of an optimized crystal structure of KAgSbBr6, from Alexandria via LeMat-Bulk.

CIF file:
```
data_KAgSbBr6
_chemical_formula_sum 'K1 Ag1 Sb1 Br6'
_symmetry_space_group_name_H-M 'P 1'
_symmetry_Int_Tables_number 1
_symmetry_space_group_name_Hall 'P 1'
_cell_length_a 7.335
_cell_length_b 7.335
_cell_length_c 7.160
_cell_angle_alpha 90.00
_cell_angle_beta 90.00
_cell_angle_gamma 120.00
loop_
_atom_site_label
_atom_site_fract_x
_atom_site_fract_y
_atom_site_fract_z
_atom_site_occupancy
K1 0.000 0.000 0.000 1
Ag1 0.667 0.333 0.500 1
Sb1 0.333 0.667 0.500 1
Br1 0.014 0.378 0.278 1
Br2 0.014 0.636 0.722 1
Br3 0.364 0.378 0.722 1
Br4 0.364 0.986 0.278 1
Br5 0.622 0.636 0.278 1
Br6 0.622 0.986 0.722 1
```

=====

# 4
The following is a PBE calculation of an optimized crystal structure of KAgSbBr5, from Alexandria via LeMat-Bulk.

CIF file:
```
data_KAgSbBr5
_chemical_formula_sum 'K2 Ag2 Sb2 Br10'
_symmetry_space_group_name_H-M 'P 1'
_symmetry_Int_Tables_number 1
_symmetry_space_group_name_Hall 'P 1'
_cell_length_a 7.962
_cell_length_b 7.962
_cell_length_c 10.702
_cell_angle_alpha 102.86
_cell_angle_beta 102.86
_cell_angle_gamma 108.80
loop_
_atom_site_label
_atom_site_fract_x
_atom_site_fract_y
_atom_site_fract_z
_atom_site_occupancy
K1 0.149 0.851 0.750 1
K2 0.851 0.149 0.250 1
Ag1 0.193 0.807 0.250 1
Ag2 0.807 0.193 0.750 1
Sb1 0.500 0.500 0.000 1
Sb2 0.500 0.500 0.500 1
Br1 0.128 0.245 0.940 1
Br2 0.185 0.585 0.405 1
Br3 0.245 0.128 0.440 1
Br4 0.415 0.815 0.095 1
Br5 0.422 0.578 0.750 1
Br6 0.578 0.422 0.250 1
Br7 0.585 0.185 0.905 1
Br8 0.755 0.872 0.560 1
Br9 0.815 0.415 0.595 1
Br10 0.872 0.755 0.060 1
```

=====

# 5
The following is a PBE calculation of an optimized crystal structure of KAg2SbBr8, from Alexandria via LeMat-Bulk.

CIF file:
```
data_KAg2SbBr8
_chemical_formula_sum 'K1 Ag2 Sb1 Br8'
_symmetry_space_group_name_H-M 'P 1'
_symmetry_Int_Tables_number 1
_symmetry_space_group_name_Hall 'P 1'
_cell_length_a 6.740
_cell_length_b 8.620
_cell_length_c 8.847
_cell_angle_alpha 101.18
_cell_angle_beta 107.35
_cell_angle_gamma 101.68
loop_
_atom_site_label
_atom_site_fract_x
_atom_site_fract_y
_atom_site_fract_z
_atom_site_occupancy
K1 0.000 0.000 0.000 1
Ag1 0.342 0.352 0.789 1
Ag2 0.658 0.648 0.211 1
Sb1 0.500 0.000 0.500 1
Br1 0.084 0.827 0.348 1
Br2 0.270 0.412 0.061 1
Br3 0.380 0.287 0.499 1
Br4 0.469 0.008 0.800 1
Br5 0.531 0.992 0.200 1
Br6 0.620 0.713 0.501 1
Br7 0.730 0.588 0.939 1
Br8 0.916 0.173 0.652 1
```

=====

# 6
The following is a PBE calculation of an optimized crystal structure of K3Ag2SbBr9, from Alexandria via LeMat-Bulk.

CIF file:
```
data_K3Ag2SbBr9
_chemical_formula_sum 'K3 Ag2 Sb1 Br9'
_symmetry_space_group_name_H-M 'P 1'
_symmetry_Int_Tables_number 1
_symmetry_space_group_name_Hall 'P 1'
_cell_length_a 7.828
_cell_length_b 7.828
_cell_length_c 9.686
_cell_angle_alpha 90.00
_cell_angle_beta 90.00
_cell_angle_gamma 120.00
loop_
_atom_site_label
_atom_site_fract_x
_atom_site_fract_y
_atom_site_fract_z
_atom_site_occupancy
K1 0.000 0.000 0.000 1
K2 0.333 0.667 0.728 1
K3 0.667 0.333 0.272 1
Ag1 0.333 0.667 0.161 1
Ag2 0.667 0.333 0.839 1
Sb1 0.000 0.000 0.500 1
Br1 0.000 0.500 0.000 1
Br2 0.165 0.330 0.332 1
Br3 0.165 0.835 0.332 1
Br4 0.330 0.165 0.668 1
Br5 0.500 0.000 0.000 1
Br6 0.500 0.500 0.000 1
Br7 0.670 0.835 0.332 1
Br8 0.835 0.165 0.668 1
Br9 0.835 0.670 0.668 1
```

=====

# 7
The following is a PBE calculation of an optimized crystal structure of K2AgSbBr6, from Alexandria via LeMat-Bulk.

CIF file:
```
data_K2AgSbBr6
_chemical_formula_sum 'K2 Ag1 Sb1 Br6'
_symmetry_space_group_name_H-M 'P 1'
_symmetry_Int_Tables_number 1
_symmetry_space_group_name_Hall 'P 1'
_cell_length_a 7.949
_cell_length_b 7.949
_cell_length_c 7.949
_cell_angle_alpha 60.00
_cell_angle_beta 60.00
_cell_angle_gamma 60.00
loop_
_atom_site_label
_atom_site_fract_x
_atom_site_fract_y
_atom_site_fract_z
_atom_site_occupancy
K1 0.250 0.250 0.250 1
K2 0.750 0.750 0.750 1
Ag1 0.000 0.000 0.000 1
Sb1 0.500 0.500 0.500 1
Br1 0.250 0.250 0.750 1
Br2 0.250 0.750 0.250 1
Br3 0.250 0.750 0.750 1
Br4 0.750 0.250 0.250 1
Br5 0.750 0.250 0.750 1
Br6 0.750 0.750 0.250 1
```

=====

# 8
The following is a PBE calculation of an optimized crystal structure of K2AgSbBr6, from Alexandria via LeMat-Bulk.

CIF file:
```
data_K2AgSbBr6
_chemical_formula_sum 'K4 Ag2 Sb2 Br12'
_symmetry_space_group_name_H-M 'P 1'
_symmetry_Int_Tables_number 1
_symmetry_space_group_name_Hall 'P 1'
_cell_length_a 7.652
_cell_length_b 8.024
_cell_length_c 13.286
_cell_angle_alpha 90.00
_cell_angle_beta 124.76
_cell_angle_gamma 90.00
loop_
_atom_site_label
_atom_site_fract_x
_atom_site_fract_y
_atom_site_fract_z
_atom_site_occupancy
K1 0.223 0.078 0.248 1
K2 0.223 0.422 0.748 1
K3 0.777 0.578 0.252 1
K4 0.777 0.922 0.752 1
Ag1 0.000 0.000 0.500 1
Ag2 0.000 0.500 0.000 1
Sb1 0.500 0.000 0.000 1
Sb2 0.500 0.500 0.500 1
Br1 0.149 0.196 0.950 1
Br2 0.149 0.304 0.450 1
Br3 0.260 0.704 0.952 1
Br4 0.260 0.796 0.452 1
Br5 0.349 0.021 0.750 1
Br6 0.349 0.479 0.250 1
Br7 0.651 0.521 0.750 1
Br8 0.651 0.979 0.250 1
Br9 0.740 0.204 0.548 1
Br10 0.740 0.296 0.048 1
Br11 0.851 0.696 0.550 1
Br12 0.851 0.804 0.050 1
```

=====

Number 1: formation energy without anion corrections -0.519 eV/atom. Number 2: formation energy without anion corrections -0.598 eV/atom. Number 3: formation energy without anion corrections -0.705 eV/atom. Number 4: formation energy without anion corrections -0.823 eV/atom. Number 5: formation energy without anion corrections -0.587 eV/atom. Number 6: formation energy without anion corrections -0.941 eV/atom. Number 7: formation energy without anion corrections -0.987 eV/atom. Number 8: formation energy without anion corrections -1.027 eV/atom.